(1)
Compound: BeTc2Os
Source: the Alexandria database
Functional: PBE
Structure: optimized geometry

The structure in CIF format:
```
data_BeTc2Os
_chemical_formula_sum 'Be1 Tc2 Os1'
_space_group_name_H-M_alt 'P 1'
_space_group_IT_number 1
_space_group_name_Hall 'P 1'
_cell_length_a 2.760
_cell_length_b 2.760
_cell_length_c 6.762
_cell_angle_alpha 90.00
_cell_angle_beta 90.00
_cell_angle_gamma 90.00
loop_
_atom_site_label
_atom_site_fract_x
_atom_site_fract_y
_atom_site_fract_z
Be1 0.500 0.500 0.250
Os1 0.500 0.500 0.750
Tc1 0.000 0.000 0.471
Tc2 0.000 0.000 0.029
```

## Properties
- E_form: -0.041 eV per atom
- Crystal system: tetragonal
- Space-group type: P4/mmm

(2)
Compound: NaMgSeCl
Source: the Alexandria database
Functional: PBE
Structure: optimized geometry

The structure in CIF format:
```
data_NaMgSeCl
_chemical_formula_sum 'Na2 Mg2 Se2 Cl2'
_space_group_name_H-M_alt 'P 1'
_space_group_IT_number 1
_space_group_name_Hall 'P 1'
_cell_length_a 4.582
_cell_length_b 4.582
_cell_length_c 11.443
_cell_angle_alpha 78.45
_cell_angle_beta 78.45
_cell_angle_gamma 60.00
loop_
_atom_site_label
_atom_site_fract_x
_atom_site_fract_y
_atom_site_fract_z
Na1 0.122 0.122 0.634
Cl1 0.790 0.790 0.629
Se1 0.377 0.377 0.869
Mg1 0.704 0.704 0.889
Cl2 0.210 0.210 0.371
Mg2 0.296 0.296 0.111
Na2 0.878 0.878 0.366
Se2 0.623 0.623 0.131
```

## Properties
- Crystal system: trigonal
- ΔE_f (raw): -5.79 eV per formula unit
- Space-group type: R-3m

(3)
Compound: SbTeRuN2
Source: the Alexandria database
Functional: PBE
Structure: optimized geometry

The structure in CIF format:
```
data_SbTeRuN2
_chemical_formula_sum 'Sb1 Te1 Ru1 N2'
_space_group_name_H-M_alt 'P 1'
_space_group_IT_number 1
_space_group_name_Hall 'P 1'
_cell_length_a 3.966
_cell_length_b 3.966
_cell_length_c 6.561
_cell_angle_alpha 90.00
_cell_angle_beta 90.00
_cell_angle_gamma 90.00
loop_
_atom_site_label
_atom_site_fract_x
_atom_site_fract_y
_atom_site_fract_z
N1 0.000 0.500 0.000
Ru1 0.500 0.500 0.500
N2 0.500 0.000 0.000
Te1 0.000 0.000 0.500
Sb1 0.000 0.000 0.000
```

## Properties
- Crystal system: tetragonal
- ΔE_f (raw): 8.27 eV per formula unit
- Space-group type: P4/mmm

(4)
Compound: La6TbHo2Er
Source: the Alexandria database
Functional: PBE
Structure: optimized geometry

The structure in CIF format:
```
data_La6TbHo2Er
_chemical_formula_sum 'La12 Tb2 Ho4 Er2'
_space_group_name_H-M_alt 'P 1'
_space_group_IT_number 1
_space_group_name_Hall 'P 1'
_cell_length_a 9.797
_cell_length_b 9.025
_cell_length_c 9.025
_cell_angle_alpha 117.80
_cell_angle_beta 94.39
_cell_angle_gamma 94.39
loop_
_atom_site_label
_atom_site_fract_x
_atom_site_fract_y
_atom_site_fract_z
La1 0.806 0.438 0.997
Ho1 0.046 0.292 0.198
Ho2 0.954 0.708 0.802
Ho3 0.546 0.198 0.292
Tb1 0.250 0.975 0.025
La2 0.694 0.003 0.562
La3 0.620 0.492 0.704
Ho4 0.454 0.802 0.708
La4 0.306 0.997 0.438
La5 0.880 0.296 0.508
La6 0.380 0.508 0.296
Tb2 0.750 0.025 0.975
La7 0.194 0.562 0.003
Er1 0.750 0.588 0.412
La8 0.949 0.890 0.241
La9 0.551 0.759 0.110
Er2 0.250 0.412 0.588
La10 0.051 0.110 0.759
La11 0.120 0.704 0.492
La12 0.449 0.241 0.890
```

## Properties
- E_form: 0.109 eV per atom
- Crystal system: monoclinic
- Space-group type: C2/c